Here is RbTiSeN2 after structural relaxation from Alexandria via LeMat-Bulk. Energies are from GGA-PBE.

```
RbTiSeN2
1.0
4.288 0.000 0.000
0.000 4.288 0.000
0.000 0.000 5.050
N Se Ti Rb
2 1 1 1
Cartesian
2.144 0.000 0.000 N
0.000 2.144 0.000 N
0.000 0.000 2.525 Se
0.000 0.000 0.000 Ti
2.144 2.144 2.525 Rb
```

- total magnetization (μB/cell) = 2.945
- ΔE_f (raw) (meV/atom) = 136
- energy above the most stable polymorph in this dataset (kJ/mol of formula units) = 0

---

Here is Rb2VSeN after structural relaxation from Alexandria via LeMat-Bulk. Energies are from GGA-PBE.

```
Rb2VSeN
1.0
6.240 0.000 0.000
0.000 3.754 0.000
0.000 0.000 6.240
Se N Rb V
1 1 2 1
Cartesian
3.120 1.877 3.120 Se
0.000 0.000 0.000 N
3.120 0.000 0.000 Rb
0.000 0.000 3.120 Rb
0.000 1.877 0.000 V
```

- total magnetization (μB/cell) = 2.322
- ΔE_f (raw) (meV/atom) = -135

---

Here is RbWSe2N after structural relaxation from Alexandria via LeMat-Bulk. Energies are from GGA-PBE.

```
RbWSe2N
1.0
-1.005 -5.114 -0.405
1.027 -0.605 5.090
-3.762 0.673 0.839
N Se W Rb
1 2 1 1
Cartesian
-1.881 0.337 0.420 N
-0.503 -2.557 -0.202 Se
0.514 -0.302 2.545 Se
0.000 0.000 0.000 W
-1.870 -2.523 2.762 Rb
```

- total magnetization (μB/cell) = 0.000
- ΔE_f (raw) (meV/atom) = -214
- energy above the most stable polymorph in this dataset (kJ/mol of formula units) = 0